(1)
A plane-wave DFT calculation with PBE was carried out for a relaxed structure of Ti2Nb2Ag.

Calculated values
mass density = 7.2 g cm⁻³
DFT formation energy = 0.243 eV per atom
E above lowest polymorph = 0.0000 eV/atom
space-group type = P4/mbm

a b c (Å): 7.0771 7.0771 3.5805
angles (deg): 90.00 90.00 90.00
Element x y z (fractional)
Nb: 0.8334 0.3334 0.5000
Nb: 0.3334 0.1666 0.5000
Ti: 0.3682 0.8682 0.0000
Nb: 0.6666 0.8334 0.5000
Ti: 0.1318 0.3682 0.0000
Ag: 0.0000 0.0000 0.0000
Ti: 0.6318 0.1318 0.0000
Ag: 0.5000 0.5000 0.0000
Ti: 0.8682 0.6318 0.0000
Nb: 0.1666 0.6666 0.5000

(2)
A plane-wave DFT calculation with PBE was carried out for a relaxed structure of TiNbAg3.

Calculated values
mass density = 6.7 g cm⁻³
DFT formation energy = 1.400 eV per atom
E above lowest polymorph = 0.0000 eV/atom
space-group type = Pm-3m

a b c (Å): 4.8631 4.8631 4.8631
angles (deg): 90.00 90.00 90.00
Site moments in Bohr magnetons follow the coordinates.
Element x y z (fractional)
Ag: 0.5000 0.0000 0.0000  0.08
Ag: 0.0000 0.5000 0.0000  0.08
Nb: 0.5000 0.5000 0.5000  -2.11
Ti: 0.0000 0.0000 0.0000  1.34
Ag: 0.0000 0.0000 0.5000  0.07

(3)
A plane-wave DFT calculation with PBE was carried out for a relaxed structure of Ti2NbAg.

Calculated values
mass density = 7.0 g cm⁻³
DFT formation energy = -0.004 eV per atom
E above lowest polymorph = 0.0000 eV/atom
space-group type = P4/mmm

a b c (Å): 3.2794 3.2794 6.4988
angles (deg): 90.00 90.00 90.00
Element x y z (fractional)
Ti: 0.0000 0.0000 0.2341
Ag: 0.5000 0.5000 0.5000
Ti: 0.0000 0.0000 0.7659
Nb: 0.5000 0.5000 0.0000

(4)
A plane-wave DFT calculation with PBE was carried out for a relaxed structure of Ti2NbAg.

Calculated values
mass density = 7.2 g cm⁻³
DFT formation energy = 0.068 eV per atom
E above lowest polymorph = 0.0720 eV/atom
space-group type = P4/mmm

a b c (Å): 3.3164 4.5494 4.5494
angles (deg): 90.00 90.00 90.00
Element x y z (fractional)
Ti: 0.0000 0.0000 0.5000
Ti: 0.0000 0.5000 0.0000
Nb: 0.5000 0.5000 0.5000
Ag: 0.5000 0.0000 0.0000

(5)
A plane-wave DFT calculation with PBE was carried out for a relaxed structure of Ti2NbAg2.

Calculated values
mass density = 7.5 g cm⁻³
DFT formation energy = 0.268 eV per atom
E above lowest polymorph = 0.2004 eV/atom
space-group type = P4/mbm

a b c (Å): 8.0421 8.0421 2.7537
angles (deg): 90.00 90.00 90.00
Element x y z (fractional)
Nb: 0.0000 0.0000 0.0000
Ag: 0.1218 0.3782 0.0000
Ti: 0.1765 0.6765 0.5000
Ag: 0.6218 0.1218 0.0000
Nb: 0.5000 0.5000 0.0000
Ti: 0.8235 0.3235 0.5000
Ag: 0.3782 0.8782 0.0000
Ti: 0.6765 0.8235 0.5000
Ti: 0.3235 0.1765 0.5000
Ag: 0.8782 0.6218 0.0000

(6)
A plane-wave DFT calculation with PBE was carried out for a relaxed structure of TiNb3Ag.

Calculated values
mass density = 7.0 g cm⁻³
DFT formation energy = 1.224 eV per atom
E above lowest polymorph = 0.0000 eV/atom
space-group type = Pm-3m

a b c (Å): 4.6952 4.6952 4.6952
angles (deg): 90.00 90.00 90.00
Element x y z (fractional)
Nb: 0.0000 0.5000 0.0000
Nb: 0.5000 0.0000 0.0000
Nb: 0.0000 0.0000 0.5000
Ag: 0.5000 0.5000 0.5000
Ti: 0.0000 0.0000 0.0000

(7)
A plane-wave DFT calculation with PBE was carried out for a relaxed structure of TiNbAg2.

Calculated values
mass density = 8.4 g cm⁻³
DFT formation energy = 0.037 eV per atom
E above lowest polymorph = 0.0000 eV/atom
space-group type = P4mm

a b c (Å): 2.8541 2.8541 8.6997
angles (deg): 90.00 90.00 90.00
Element x y z (fractional)
Ti: 0.0000 0.0000 0.5016
Nb: 0.5000 0.5000 0.7424
Ag: 0.0000 0.0000 0.0020
Ag: 0.5000 0.5000 0.2540

(8)
A plane-wave DFT calculation with PBE was carried out for a relaxed structure of TiNbAg2.

Calculated values
mass density = 7.9 g cm⁻³
DFT formation energy = 0.593 eV per atom
E above lowest polymorph = 0.5562 eV/atom
space-group type = I-42d

a b c (Å): 7.5607 7.5607 5.9588
angles (deg): 50.62 50.62 90.00
Element x y z (fractional)
Nb: 0.0000 0.0000 0.0000
Nb: 0.7500 0.2500 0.5000
Ag: 0.6125 0.1250 0.2500
Ag: 0.8750 0.8625 0.7500
Ti: 0.2500 0.7500 0.5000
Ag: 0.3750 0.3875 0.7500
Ti: 0.5000 0.5000 0.0000
Ag: 0.1375 0.6250 0.2500

Which of these has the highest E above lowest polymorph? number 8

What is the formula in the seventh record? TiNbAg2

Look up the DFT formation energy of the third one. -0.004 eV per atom

Number 4 is which compound? Ti2NbAg